# GGA-PBE Cd4Ag4Au3, relaxed
# DOS(E_F) ... 3.47 states/eV/f.u.
# Excess energy over the best structure of this formula in the dataset ... 14.9 meV per atom
# Total magnetization ... 0.00 μB per atom
# Energy of formation ... -91 meV/atom
data_Cd4Ag4Au3
_symmetry_space_group_name_H-M 'P -1'
_symmetry_Int_Tables_number 2
_cell_length_a 3.0963
_cell_length_b 4.7929
_cell_length_c 14.5881
_cell_angle_alpha 99.27
_cell_angle_beta 96.03
_cell_angle_gamma 90.21
loop_
_symmetry_equiv_pos_as_xyz
'x,y,z'
'-x,-y,-z'
loop_
_atom_site_label
_atom_site_type_symbol
_atom_site_fract_x
_atom_site_fract_y
_atom_site_fract_z
Cd1 Cd 0.0561 0.0559 0.1139
Cd2 Cd 0.1741 0.6737 0.3495
Ag1 Ag 0.2359 0.2365 0.4724
Ag2 Ag 0.4152 0.4149 0.8282
Au1 Au 0.0000 0.5000 0.0000
Au2 Au 0.3528 0.8545 0.7063



# GGA-PBE YEr4Al2, relaxed
# DOS(E_F) ... 4.48 states/eV/f.u.
# Excess energy over the best structure of this formula in the dataset ... 0.0 meV per atom
# Total magnetization ... 0.00 μB per atom
# Energy of formation ... -215 meV/atom
data_YEr4Al2
_symmetry_space_group_name_H-M 'R -3 m'
_symmetry_Int_Tables_number 166
_symmetry_space_group_name_Hall '-R 3 2"'
_cell_length_a 5.2343
_cell_length_b 5.2343
_cell_length_c 23.2340
_cell_angle_alpha 90.00
_cell_angle_beta 90.00
_cell_angle_gamma 120.00
loop_
_atom_site_label
_atom_site_type_symbol
_atom_site_fract_x
_atom_site_fract_y
_atom_site_fract_z
Y1 Y 0.0000 0.0000 0.0000
Er1 Er 0.0000 0.0000 0.1534
Er2 Er 0.0000 0.0000 0.4195
Al1 Al 0.0000 0.0000 0.2825